[1]
The following is a PBE-GGA calculation of crystalline TlGaO2 at its relaxed geometry, from the Alexandria database.

The structure in POSCAR format:
```
TlGaO2
1.0
2.705 -1.562 0.000
0.000 3.124 0.000
0.000 0.000 6.818
O Ga Tl
2 1 1
Cartesian
1.803 0.000 1.087
0.902 1.562 5.873
0.000 0.000 6.738
0.902 1.562 3.039
```

Results
polymorph energy (0 for the lowest one): 0.73 eV/f.u.
size of the total moment: 0.000 μB per atom

=====

[2]
The following is a PBE-GGA calculation of crystalline Zn5Tc at its relaxed geometry, from the Alexandria database.

The structure in POSCAR format:
```
Zn5Tc
1.0
6.273 -0.008 0.000
-5.163 3.562 0.000
0.000 0.000 3.859
Zn Tc
5 1
Cartesian
2.772 1.085 0.000
-1.027 2.271 0.000
-2.951 2.871 1.930
0.873 1.678 1.930
4.695 0.484 1.930
-4.845 3.463 0.000
```

Results
polymorph energy (0 for the lowest one): 0.12 eV/f.u.
size of the total moment: 0.070 μB per atom
ΔH_f (0 K): -1.3 meV per atom

=====

[3]
The following is a PBE-GGA calculation of crystalline CaGd2Y at its relaxed geometry, from the Alexandria database.

The structure in POSCAR format:
```
CaGd2Y
1.0
-1.163 0.952 -5.578
-1.451 -4.407 -3.441
-5.418 -0.484 -1.945
Gd Ca Y
2 1 1
Cartesian
-6.024 -2.954 -8.223
-2.008 -0.985 -2.741
0.000 0.000 0.000
-4.016 -1.970 -5.482
```

Results
polymorph energy (0 for the lowest one): 0.30 eV/f.u.
size of the total moment: 3.803 μB per atom
ΔH_f (0 K): 132.8 meV per atom

=====

[4]
The following is a PBE-GGA calculation of crystalline SrAlSnS2 at its relaxed geometry, from the Alexandria database.

The structure in POSCAR format:
```
SrAlSnS2
1.0
-1.887 1.150 4.898
0.438 -4.856 1.309
5.009 0.914 1.716
Sr Sn S Al
1 1 2 1
Cartesian
1.780 -1.396 3.961
0.000 0.000 0.000
-0.944 0.575 2.449
2.505 0.457 0.858
0.219 -2.428 0.655
```

Results
size of the total moment: 0.000 μB per atom
E_tot: -0.279 Ry per atom

=====

[5]
The following is a PBE-GGA calculation of crystalline Pm3SmY6Tm2 at its relaxed geometry, from the Alexandria database.

The structure in POSCAR format:
```
Pm3SmY6Tm2
1.0
-4.649 -2.023 3.577
4.409 -3.942 -1.876
6.340 4.446 8.966
Y Sm Pm Tm
6 1 3 2
Cartesian
6.104 -1.450 7.115
3.081 -0.809 8.935
3.020 -0.711 1.732
4.712 1.847 7.176
-0.004 -0.070 3.553
1.389 -3.367 3.491
0.000 0.000 0.000
3.050 -0.760 5.334
0.034 -0.121 7.150
6.067 -1.399 3.517
-1.630 -2.663 1.760
1.390 -3.303 -0.059
```

Results
size of the total moment: 0.000 μB per atom
ΔH_f (0 K): 18.9 meV per atom

=====

[6]
The following is a PBE-GGA calculation of crystalline PrCu10Ni2 at its relaxed geometry, from the Alexandria database.

The structure in POSCAR format:
```
PrCu10Ni2
1.0
4.854 0.000 0.000
2.427 5.992 0.000
2.427 0.000 6.013
Cu Ni Pr
10 2 1
Cartesian
2.427 1.376 1.363
4.854 1.376 4.650
1.213 0.000 3.006
4.854 3.839 3.903
4.854 2.153 2.110
2.427 3.839 2.110
3.640 0.000 3.006
7.281 4.616 4.650
7.281 2.153 3.903
4.854 4.616 1.363
3.640 2.996 0.000
1.213 2.996 0.000
0.000 0.000 0.000
```

Results
size of the total moment: 0.000 μB per atom
ΔH_f (0 K): -79.2 meV per atom

=====

| no. | volume (Å³/cell) |
| --- | --- |
| 1 | 57.6 |
| 2 | 86.1 |
| 3 | 136.3 |
| 4 | 145.8 |
| 5 | 389.2 |
| 6 | 174.9 |